[1]
Here is a geometry-optimized PmDy5Ru6 structure from Alexandria. Energies are from PBE.

ΔH_f (0 K): -285 meV per atom
SG: Immm

POSCAR file:
```
PmDy5Ru6
1.0
-2.413 3.418 7.219
2.413 -3.418 7.219
2.413 3.418 -7.219
Pm Dy Ru
1 5 6
direct
0.000 0.000 0.000 Pm
0.168 0.668 0.500 Dy
0.333 0.333 0.000 Dy
0.500 0.000 0.500 Dy
0.667 0.667 0.000 Dy
0.832 0.332 0.500 Dy
0.083 0.832 0.251 Ru
0.253 0.500 0.753 Ru
0.419 0.168 0.251 Ru
0.581 0.832 0.749 Ru
0.747 0.500 0.247 Ru
0.917 0.168 0.749 Ru
```

[2]
Here is a geometry-optimized Tb12MgCo6 structure from Alexandria. Energies are from PBE.

ΔH_f (0 K): -173 meV per atom
SG: Im-3

POSCAR file:
```
Tb12MgCo6
1.0
-4.870 4.870 4.870
4.870 -4.870 4.870
4.870 4.870 -4.870
Tb Mg Co
12 1 6
direct
0.111 0.805 0.306 Tb
0.195 0.306 0.500 Tb
0.195 0.694 0.889 Tb
0.306 0.111 0.805 Tb
0.306 0.500 0.195 Tb
0.500 0.195 0.306 Tb
0.500 0.805 0.694 Tb
0.694 0.500 0.805 Tb
0.694 0.889 0.195 Tb
0.805 0.306 0.111 Tb
0.805 0.694 0.500 Tb
0.889 0.195 0.694 Tb
0.000 0.000 0.000 Mg
0.113 0.613 0.500 Co
0.387 0.500 0.887 Co
0.500 0.113 0.613 Co
0.500 0.887 0.387 Co
0.613 0.500 0.113 Co
0.887 0.387 0.500 Co
```

[3]
Here is a geometry-optimized Sr2Sn5Au4 structure from Alexandria. Energies are from PBE.

ΔH_f (0 K): -413 meV per atom
SG: Fmmm

POSCAR file:
```
Sr2Sn5Au4
1.0
0.000 5.860 7.834
3.294 0.000 7.834
3.294 5.860 0.000
Sr Sn Au
2 5 4
direct
0.145 0.145 0.855 Sr
0.855 0.855 0.145 Sr
0.000 0.000 0.500 Sn
0.250 0.250 0.250 Sn
0.500 0.500 0.000 Sn
0.500 0.500 0.500 Sn
0.750 0.750 0.750 Sn
0.228 0.475 0.525 Au
0.475 0.228 0.772 Au
0.525 0.772 0.228 Au
0.772 0.525 0.475 Au
```

[4]
Here is a geometry-optimized NbCo2Cu structure from Alexandria. Energies are from PBE.

ΔH_f (0 K): 415 meV per atom
Distance to the lowest polymorph of the same formula: 0.490 eV per atom
SG: I-42d

POSCAR file:
```
NbCo2Cu
1.0
-3.226 3.226 2.640
3.226 -3.226 2.640
3.226 3.226 -2.640
Nb Co Cu
2 4 2
direct
0.000 0.000 0.000 Nb
0.750 0.250 0.500 Nb
0.123 0.625 0.998 Co
0.375 0.373 0.498 Co
0.627 0.125 0.002 Co
0.875 0.877 0.502 Co
0.250 0.750 0.500 Cu
0.500 0.500 0.000 Cu
```

[5]
Here is a geometry-optimized NaGeBiAu3 structure from Alexandria. Energies are from PBE.

ΔH_f (0 K): -110 meV per atom
SG: C2/c

POSCAR file:
```
NaGeBiAu3
1.0
3.455 -6.061 0.000
3.455 6.061 0.000
-0.484 0.000 7.090
Na Ge Bi Au
2 2 2 6
direct
0.243 0.757 0.750 Na
0.757 0.243 0.250 Na
0.020 0.980 0.250 Ge
0.980 0.020 0.750 Ge
0.494 0.506 0.250 Bi
0.506 0.494 0.750 Bi
0.111 0.354 0.999 Au
0.252 0.748 0.250 Au
0.354 0.111 0.499 Au
0.646 0.889 0.501 Au
0.748 0.252 0.750 Au
0.889 0.646 0.001 Au
```

[6]
Here is a geometry-optimized InCo5 structure from Alexandria. Energies are from PBE.

ΔH_f (0 K): 172 meV per atom
SG: Cm

POSCAR file:
```
InCo5
1.0
4.734 -1.362 0.000
4.734 1.362 0.000
-1.711 0.000 5.806
In Co
1 5
direct
0.000 0.000 0.000 In
0.288 0.288 0.106 Co
0.335 0.335 0.650 Co
0.643 0.643 0.739 Co
0.682 0.682 0.358 Co
0.966 0.966 0.431 Co
```

[7]
Here is a geometry-optimized Ac4BiAs2Se structure from Alexandria. Energies are from PBE.

Raw formation energy: -1.48 eV/atom
SG: P2/m

POSCAR file:
```
Ac4BiAs2Se
1.0
7.962 0.000 0.000
0.000 4.610 0.000
-2.660 0.000 7.585
Ac Bi As Se
4 1 2 1
direct
0.240 0.000 0.234 Ac
0.251 0.500 0.764 Ac
0.749 0.500 0.236 Ac
0.760 0.000 0.766 Ac
0.500 0.500 0.500 Bi
0.000 0.500 0.000 As
0.500 0.000 0.000 As
0.000 0.000 0.500 Se
```

[8]
Here is a geometry-optimized AcDy2Sc structure from Alexandria. Energies are from PBE.

ΔH_f (0 K): 94 meV per atom
Distance to the lowest polymorph of the same formula: 0.003 eV per atom
SG: P4/mmm

POSCAR file:
```
AcDy2Sc
1.0
3.899 0.000 0.000
0.000 3.899 0.000
0.000 0.000 8.762
Ac Dy Sc
1 2 1
direct
0.000 0.000 0.000 Ac
0.500 0.500 0.293 Dy
0.500 0.500 0.707 Dy
0.000 0.000 0.500 Sc
```

[9]
Here is a geometry-optimized CaAuSe2Br structure from Alexandria. Energies are from PBE.

Raw formation energy: 0.06 eV/atom
Distance to the lowest polymorph of the same formula: 0.514 eV per atom
SG: P4/mmm

POSCAR file:
```
CaAuSe2Br
1.0
5.630 0.000 0.000
0.000 5.630 0.000
0.000 0.000 5.428
Ca Au Se Br
1 1 2 1
direct
0.000 0.000 0.000 Ca
0.500 0.500 0.500 Au
0.000 0.500 0.000 Se
0.500 0.000 0.000 Se
0.000 0.000 0.500 Br
```

[10]
Here is a geometry-optimized DyPu2Rh3 structure from Alexandria. Energies are from PBE.

ΔH_f (0 K): 26 meV per atom
Distance to the lowest polymorph of the same formula: 0.578 eV per atom
SG: P-3m1

POSCAR file:
```
DyPu2Rh3
1.0
4.730 0.000 0.000
-2.365 4.096 0.000
0.000 0.000 5.812
Dy Pu Rh
1 2 3
direct
0.000 0.000 0.000 Dy
0.333 0.667 0.612 Pu
0.667 0.333 0.388 Pu
0.000 0.000 0.500 Rh
0.333 0.667 0.141 Rh
0.667 0.333 0.859 Rh
```

[11]
Here is a geometry-optimized CuTeAu2 structure from Alexandria. Energies are from PBE.

Raw formation energy: 0.07 eV/atom
SG: Pmm2

POSCAR file:
```
CuTeAu2
1.0
3.101 0.000 0.000
0.000 3.749 0.000
0.000 0.000 6.927
Cu Te Au
1 1 2
direct
0.000 0.000 0.000 Cu
0.000 0.500 0.717 Te
0.000 0.000 0.396 Au
0.500 0.500 0.170 Au
```

[12]
Here is a geometry-optimized BaNb3Se structure from Alexandria. Energies are from PBE.

Raw formation energy: 2.51 eV/atom
Distance to the lowest polymorph of the same formula: 1.811 eV per atom
SG: Pm-3m

POSCAR file:
```
BaNb3Se
1.0
5.101 0.000 0.000
0.000 5.101 0.000
0.000 0.000 5.101
Ba Nb Se
1 3 1
direct
0.000 0.000 0.000 Ba
0.000 0.000 0.500 Nb
0.000 0.500 0.000 Nb
0.500 0.000 0.000 Nb
0.500 0.500 0.500 Se
```

Number 1: M_tot 0.0 μB per formula unit. Number 2: M_tot 0.0 μB per formula unit. Number 3: M_tot 0.0 μB per formula unit. Number 4: M_tot 0.0 μB per formula unit. Number 5: M_tot 0.0 μB per formula unit. Number 6: M_tot 7.5 μB per formula unit. Number 7: M_tot 0.0 μB per formula unit. Number 8: M_tot 0.0 μB per formula unit. Number 9: M_tot 2.1 μB per formula unit. Number 10: M_tot 0.0 μB per formula unit. Number 11: M_tot 0.0 μB per formula unit. Number 12: M_tot 0.0 μB per formula unit.